VASP calculation (PBE-GGA) on a geometry-optimized Sc4GeP structure.

The structure in POSCAR format:
```
Sc4GeP
1.0
6.409 0.000 -0.105
0.000 6.429 0.000
-0.200 0.000 6.465
P Sc Ge
2 8 2
Cartesian
-0.100 3.215 3.233 P
3.105 0.000 3.180 P
5.479 4.211 0.975 Sc
0.730 2.218 5.386 Sc
2.013 2.175 2.208 Sc
2.274 5.433 1.027 Sc
0.992 5.389 4.205 Sc
3.935 0.996 5.334 Sc
4.196 4.254 4.153 Sc
5.217 1.040 2.156 Sc
3.204 3.215 -0.052 Ge
0.000 0.000 0.000 Ge
```

density of states at the Fermi level: 1.34 states/eV per atom
DFT formation energy: -0.651 eV/atom
SG: P2_1/c, No. 14
total moment: 0.00 μB per formula unit

---

VASP calculation (PBE-GGA) on a geometry-optimized ScGe3P structure.

The structure in POSCAR format:
```
ScGe3P
1.0
-0.018 4.724 0.708
-4.653 0.142 -1.071
-1.080 -0.693 4.601
Ge P Sc
3 1 1
Cartesian
-2.326 0.071 -0.535 Ge
-0.009 2.362 0.354 Ge
-0.540 -0.347 2.300 Ge
0.000 0.000 0.000 P
-2.876 2.086 2.119 Sc
```

relative energy among the computed polymorphs: 0 meV/atom
density of states at the Fermi level: 0.94 states/eV per atom
DFT formation energy: 0.396 eV/atom
SG: Pm-3m, No. 221
total moment: 0.00 μB per formula unit

---

VASP calculation (PBE-GGA) on a geometry-optimized Sc2GeP2 structure.

The structure in POSCAR format:
```
Sc2GeP2
1.0
-1.309 -1.401 -2.887
-2.683 -1.233 1.815
-5.770 4.943 -1.863
P Sc Ge
2 2 1
Cartesian
-5.225 1.196 -0.292 P
-4.538 1.112 -2.643 P
-6.914 2.213 -2.100 Sc
-2.848 0.096 -0.836 Sc
0.000 0.000 0.000 Ge
```

relative energy among the computed polymorphs: 47 meV/atom
density of states at the Fermi level: 0.37 states/eV per atom
DFT formation energy: -0.803 eV/atom
SG: I4/mmm, No. 139
total moment: 0.00 μB per formula unit